A plane-wave DFT calculation with PBE was carried out for crystalline Rb4LaCe3Se8 at its relaxed geometry.

The energy is -81.77 eV for the cell shown. The value obtained for the volume is 543.1 Å³ per cell. The energy relative to the elements, uncorrected comes out at -1.71 eV per atom.

Lattice parameters (Å, degrees): 9.4807 9.4807 9.4807 55.75 55.75 55.75
Positions (direct):
Rb 0.0000 0.0000 0.0000
Rb 0.0000 0.5000 0.5000
Rb 0.5000 0.0000 0.5000
Rb 0.5000 0.5000 0.0000
La 0.5000 0.5000 0.5000
Ce 0.0000 0.0000 0.5000
Ce 0.0000 0.5000 0.0000
Ce 0.5000 0.0000 0.0000
Se 0.2305 0.7349 0.7349
Se 0.2330 0.2330 0.2330
Se 0.2651 0.2651 0.7695
Se 0.2651 0.7695 0.2651
Se 0.7349 0.2305 0.7349
Se 0.7349 0.7349 0.2305
Se 0.7670 0.7670 0.7670
Se 0.7695 0.2651 0.2651

---

A plane-wave DFT calculation with PBE was carried out for crystalline Cs2MnNiCl6 at its relaxed geometry.

The energy is -81.60 eV for the cell shown. The value obtained for the volume is 544.4 Å³ per cell. The energy relative to the elements, uncorrected comes out at -1.31 eV per atom.

Lattice parameters (Å, degrees): 12.5767 12.5767 12.5767 33.66 33.66 33.66
Positions (direct):
Cs 0.1256 0.1256 0.1256
Cs 0.2906 0.2906 0.2906
Cs 0.7094 0.7094 0.7094
Cs 0.8744 0.8744 0.8744
Mn 0.4120 0.4120 0.4120
Mn 0.5880 0.5880 0.5880
Ni 0.0000 0.0000 0.0000
Ni 0.5000 0.5000 0.5000
Cl 0.1539 0.6108 0.6108
Cl 0.2014 0.2014 0.7168
Cl 0.2014 0.7168 0.2014
Cl 0.2832 0.7986 0.7986
Cl 0.3892 0.3892 0.8461
Cl 0.3892 0.8461 0.3892
Cl 0.6108 0.1539 0.6108
Cl 0.6108 0.6108 0.1539
Cl 0.7168 0.2014 0.2014
Cl 0.7986 0.2832 0.7986
Cl 0.7986 0.7986 0.2832
Cl 0.8461 0.3892 0.3892

---

A plane-wave DFT calculation with PBE was carried out for crystalline Be2Cl2F at its relaxed geometry.

The offset from the most stable computed form is 0 meV per atom. The energy is -30.15 eV for the cell shown. The value obtained for the volume is 149.3 Å³ per cell. The energy relative to the elements, uncorrected comes out at -0.41 eV per atom.

Lattice parameters (Å, degrees): 4.0941 4.0941 8.9101 90.00 90.00 90.00
Positions (direct):
Be 0.0000 0.5000 0.2500
Be 0.0000 0.5000 0.7500
Be 0.5000 0.0000 0.2500
Be 0.5000 0.0000 0.7500
Cl 0.0000 0.0000 0.1697
Cl 0.0000 0.0000 0.8303
Cl 0.5000 0.5000 0.3303
Cl 0.5000 0.5000 0.6697
F 0.0000 0.0000 0.5000
F 0.5000 0.5000 0.0000

---

A plane-wave DFT calculation with PBE was carried out for crystalline Hf3TlIn2 at its relaxed geometry.

The formation energy is 331 meV per atom. The energy is -71.44 eV for the cell shown. The value obtained for the volume is 291.4 Å³ per cell.

Lattice parameters (Å, degrees): 3.0561 5.5611 17.1490 90.00 90.00 90.00
Positions (direct):
Hf 0.0000 0.0000 0.0000
Hf 0.0000 0.5000 0.1724
Hf 0.0000 0.5000 0.8276
Hf 0.5000 0.0000 0.3276
Hf 0.5000 0.0000 0.6724
Hf 0.5000 0.5000 0.5000
Tl 0.0000 0.5000 0.0000
Tl 0.5000 0.0000 0.5000
In 0.0000 0.5000 0.3431
In 0.0000 0.5000 0.6569
In 0.5000 0.0000 0.1569
In 0.5000 0.0000 0.8431

---

- The highest energy belongs to which entry?
  Be2Cl2F

---

- What is the energy in the first record?
  -81.77 eV for the cell shown